# PBE-GGA CaHg2Ru, optimized geometry
data_CaHg2Ru
_symmetry_space_group_name_H-M 'P 1'
_symmetry_Int_Tables_number 1
_cell_length_a 9.504
_cell_length_b 9.504
_cell_length_c 9.504
_cell_angle_alpha 20.22
_cell_angle_beta 20.22
_cell_angle_gamma 20.22
loop_
_symmetry_equiv_pos_as_xyz
'x,y,z'
loop_
_atom_site_label
_atom_site_type_symbol
_atom_site_fract_x
_atom_site_fract_y
_atom_site_fract_z
Hg1 Hg 0.507 0.507 0.507
Ca1 Ca 0.750 0.750 0.750
Ru1 Ru 0.250 0.250 0.250
Hg2 Hg 0.993 0.993 0.993
# Space-group type ... R-3m, No. 166
# Relative energy among the computed polymorphs ... 270.3 meV/atom
# DOS at the Fermi energy ... 3.31 states/eV/f.u.



# PBE-GGA CaHgRu2, optimized geometry
data_CaHgRu2
_symmetry_space_group_name_H-M 'P 1'
_symmetry_Int_Tables_number 1
_cell_length_a 4.706
_cell_length_b 4.706
_cell_length_c 4.706
_cell_angle_alpha 60.00
_cell_angle_beta 60.00
_cell_angle_gamma 60.00
loop_
_symmetry_equiv_pos_as_xyz
'x,y,z'
loop_
_atom_site_label
_atom_site_type_symbol
_atom_site_fract_x
_atom_site_fract_y
_atom_site_fract_z
Ru1 Ru 0.250 0.250 0.250
Ru2 Ru 0.000 0.000 0.000
Ca1 Ca 0.500 0.500 0.500
Hg1 Hg 0.750 0.750 0.750
# Space-group type ... F-43m, No. 216
# DOS at the Fermi energy ... 4.55 states/eV/f.u.



# PBE-GGA CaHgRu, optimized geometry
data_CaHgRu
_symmetry_space_group_name_H-M 'P 1'
_symmetry_Int_Tables_number 1
_cell_length_a 4.684
_cell_length_b 4.684
_cell_length_c 4.684
_cell_angle_alpha 60.00
_cell_angle_beta 60.00
_cell_angle_gamma 60.00
loop_
_symmetry_equiv_pos_as_xyz
'x,y,z'
loop_
_atom_site_label
_atom_site_type_symbol
_atom_site_fract_x
_atom_site_fract_y
_atom_site_fract_z
Ru1 Ru 0.750 0.750 0.750
Hg1 Hg 0.500 0.500 0.500
Ca1 Ca 0.000 0.000 0.000
# Space-group type ... F-43m, No. 216
# Relative energy among the computed polymorphs ... 235.3 meV/atom
# DOS at the Fermi energy ... 7.30 states/eV/f.u.



# PBE-GGA Ca2HgRu, optimized geometry
data_Ca2HgRu
_symmetry_space_group_name_H-M 'P 1'
_symmetry_Int_Tables_number 1
_cell_length_a 5.583
_cell_length_b 5.583
_cell_length_c 5.583
_cell_angle_alpha 133.34
_cell_angle_beta 133.34
_cell_angle_gamma 68.12
loop_
_symmetry_equiv_pos_as_xyz
'x,y,z'
loop_
_atom_site_label
_atom_site_type_symbol
_atom_site_fract_x
_atom_site_fract_y
_atom_site_fract_z
Ca1 Ca 0.250 0.750 0.500
Ca2 Ca 0.000 0.000 0.000
Ru1 Ru 0.750 0.250 0.500
Hg1 Hg 0.500 0.500 0.000
# Space-group type ... I-4m2, No. 119
# DOS at the Fermi energy ... 2.95 states/eV/f.u.



# PBE-GGA Ca2HgRu, optimized geometry
data_Ca2HgRu
_symmetry_space_group_name_H-M 'P 1'
_symmetry_Int_Tables_number 1
_cell_length_a 9.617
_cell_length_b 9.617
_cell_length_c 9.617
_cell_angle_alpha 21.06
_cell_angle_beta 21.06
_cell_angle_gamma 21.06
loop_
_symmetry_equiv_pos_as_xyz
'x,y,z'
loop_
_atom_site_label
_atom_site_type_symbol
_atom_site_fract_x
_atom_site_fract_y
_atom_site_fract_z
Ca1 Ca 0.487 0.487 0.487
Ru1 Ru 0.750 0.750 0.750
Ca2 Ca 0.013 0.013 0.013
Hg1 Hg 0.250 0.250 0.250
# Space-group type ... R-3m, No. 166
# DOS at the Fermi energy ... 4.63 states/eV/f.u.



# PBE-GGA Ca2HgRu, optimized geometry
data_Ca2HgRu
_symmetry_space_group_name_H-M 'P 1'
_symmetry_Int_Tables_number 1
_cell_length_a 4.583
_cell_length_b 3.954
_cell_length_c 5.915
_cell_angle_alpha 70.50
_cell_angle_beta 90.00
_cell_angle_gamma 90.00
loop_
_symmetry_equiv_pos_as_xyz
'x,y,z'
loop_
_atom_site_label
_atom_site_type_symbol
_atom_site_fract_x
_atom_site_fract_y
_atom_site_fract_z
Ca1 Ca 0.500 0.271 0.333
Hg1 Hg 0.000 0.694 0.486
Ru1 Ru 0.500 0.555 0.765
Ca2 Ca 0.000 0.980 0.916
# Space-group type ... Amm2, No. 38
# DOS at the Fermi energy ... 2.76 states/eV/f.u.



# PBE-GGA Ca3HgRu, optimized geometry
data_Ca3HgRu
_symmetry_space_group_name_H-M 'P 1'
_symmetry_Int_Tables_number 1
_cell_length_a 5.405
_cell_length_b 5.405
_cell_length_c 5.405
_cell_angle_alpha 90.00
_cell_angle_beta 90.00
_cell_angle_gamma 90.00
loop_
_symmetry_equiv_pos_as_xyz
'x,y,z'
loop_
_atom_site_label
_atom_site_type_symbol
_atom_site_fract_x
_atom_site_fract_y
_atom_site_fract_z
Ca1 Ca 0.000 0.000 0.500
Ca2 Ca 0.000 0.500 0.000
Ca3 Ca 0.500 0.000 0.000
Ru1 Ru 0.000 0.000 0.000
Hg1 Hg 0.500 0.500 0.500
# Space-group type ... Pm-3m, No. 221
# Relative energy among the computed polymorphs ... 0.0 meV/atom
# DOS at the Fermi energy ... 4.44 states/eV/f.u.



# PBE-GGA CaHg2Ru, optimized geometry
data_CaHg2Ru
_symmetry_space_group_name_H-M 'P 1'
_symmetry_Int_Tables_number 1
_cell_length_a 9.612
_cell_length_b 9.612
_cell_length_c 9.612
_cell_angle_alpha 19.89
_cell_angle_beta 19.89
_cell_angle_gamma 19.89
loop_
_symmetry_equiv_pos_as_xyz
'x,y,z'
loop_
_atom_site_label
_atom_site_type_symbol
_atom_site_fract_x
_atom_site_fract_y
_atom_site_fract_z
Ca1 Ca 0.759 0.759 0.759
Ru1 Ru 0.501 0.501 0.501
Hg1 Hg 0.241 0.241 0.241
Hg2 Hg 0.999 0.999 0.999
# Space-group type ... R3m, No. 160
# Relative energy among the computed polymorphs ... 249.6 meV/atom
# DOS at the Fermi energy ... 5.26 states/eV/f.u.



# PBE-GGA CaHg2Ru2, optimized geometry
data_CaHg2Ru2
_symmetry_space_group_name_H-M 'P 1'
_symmetry_Int_Tables_number 1
_cell_length_a 4.818
_cell_length_b 4.818
_cell_length_c 5.870
_cell_angle_alpha 65.77
_cell_angle_beta 65.77
_cell_angle_gamma 90.00
loop_
_symmetry_equiv_pos_as_xyz
'x,y,z'
loop_
_atom_site_label
_atom_site_type_symbol
_atom_site_fract_x
_atom_site_fract_y
_atom_site_fract_z
Ru1 Ru 0.383 0.383 0.233
Hg1 Hg 0.250 0.750 0.500
Ca1 Ca 0.000 0.000 0.000
Ru2 Ru 0.617 0.617 0.767
Hg2 Hg 0.750 0.250 0.500
# Space-group type ... I4/mmm, No. 139
# Relative energy among the computed polymorphs ... 0.0 meV/atom
# DOS at the Fermi energy ... 1.73 states/eV/f.u.



# PBE-GGA CaHgRu2, optimized geometry
data_CaHgRu2
_symmetry_space_group_name_H-M 'P 1'
_symmetry_Int_Tables_number 1
_cell_length_a 2.945
_cell_length_b 2.945
_cell_length_c 8.725
_cell_angle_alpha 90.00
_cell_angle_beta 90.00
_cell_angle_gamma 90.24
loop_
_symmetry_equiv_pos_as_xyz
'x,y,z'
loop_
_atom_site_label
_atom_site_type_symbol
_atom_site_fract_x
_atom_site_fract_y
_atom_site_fract_z
Hg1 Hg 0.500 0.500 0.750
Ru1 Ru 0.000 0.000 0.985
Ru2 Ru 0.000 0.000 0.515
Ca1 Ca 0.500 0.500 0.250
# Space-group type ... Cmmm, No. 65
# DOS at the Fermi energy ... 3.49 states/eV/f.u.



# PBE-GGA CaHgRu2, optimized geometry
data_CaHgRu2
_symmetry_space_group_name_H-M 'P 1'
_symmetry_Int_Tables_number 1
_cell_length_a 5.168
_cell_length_b 5.168
_cell_length_c 2.958
_cell_angle_alpha 90.00
_cell_angle_beta 90.00
_cell_angle_gamma 110.94
loop_
_symmetry_equiv_pos_as_xyz
'x,y,z'
loop_
_atom_site_label
_atom_site_type_symbol
_atom_site_fract_x
_atom_site_fract_y
_atom_site_fract_z
Hg1 Hg 0.000 0.500 0.500
Ru1 Ru 0.500 0.500 0.000
Ca1 Ca 0.500 0.000 0.500
Ru2 Ru 0.000 0.000 0.000
# Space-group type ... Cmmm, No. 65
# DOS at the Fermi energy ... 3.57 states/eV/f.u.



# PBE-GGA CaHgRu2, optimized geometry
data_CaHgRu2
_symmetry_space_group_name_H-M 'P 1'
_symmetry_Int_Tables_number 1
_cell_length_a 4.076
_cell_length_b 4.128
_cell_length_c 4.354
_cell_angle_alpha 90.00
_cell_angle_beta 90.00
_cell_angle_gamma 90.00
loop_
_symmetry_equiv_pos_as_xyz
'x,y,z'
loop_
_atom_site_label
_atom_site_type_symbol
_atom_site_fract_x
_atom_site_fract_y
_atom_site_fract_z
Ca1 Ca 0.500 0.000 0.500
Ru1 Ru 0.500 0.500 0.000
Ru2 Ru 0.000 0.000 0.000
Hg1 Hg 0.000 0.500 0.500
# Space-group type ... Pmmm, No. 47
# DOS at the Fermi energy ... 4.00 states/eV/f.u.



Formation enthalpy at 0 K in meV per atom, matching the order above: 358 422 426 84 152 -25 60 338 280 638 544 436
Calculated total energy in eV/cell, matching the order above: -10.448 -19.169 -10.302 -13.246 -12.972 -13.681 -15.281 -10.531 -19.757 -18.302 -18.679 -19.111